Compound: Li2CaPrPd2
Source: Alexandria via LeMat-Bulk
Functional: PBE
Structure: optimized geometry

a = 4.408 Å, b = 4.408 Å, c = 7.718 Å
α = 90.00°, β = 90.00°, γ = 120.00°
Fractional positions:
Pd1 0.667 0.333 0.759
Li1 0.333 0.667 0.729
Ca1 0.000 0.000 0.500
Pr1 0.000 0.000 0.000
Pd2 0.333 0.667 0.241
Li2 0.667 0.333 0.271

Properties
space group	No. 164
energy of formation	-0.469	eV/atom

---

Compound: LiCaPrPd
Source: Alexandria via LeMat-Bulk
Functional: PBE
Structure: optimized geometry

a = 5.176 Å, b = 5.176 Å, c = 5.176 Å
α = 60.00°, β = 60.00°, γ = 60.00°
Fractional positions:
Li1 0.500 0.500 0.500
Pd1 0.000 0.000 0.000
Ca1 0.250 0.250 0.250
Pr1 0.750 0.750 0.750

Properties
space group	No. 216
energy of formation	-0.332	eV/atom

---

Compound: RbLiCa2Pd
Source: Alexandria via LeMat-Bulk
Functional: PBE
Structure: optimized geometry

a = 5.682 Å, b = 5.682 Å, c = 5.656 Å
α = 90.00°, β = 90.00°, γ = 90.00°
Fractional positions:
Rb1 0.500 0.500 0.500
Ca1 0.000 0.500 0.000
Pd1 0.000 0.000 0.000
Ca2 0.500 0.000 0.000
Li1 0.000 0.000 0.500

Properties
space group	No. 123
energy of formation	-0.129	eV/atom

---

Compound: LiCa2PdS
Source: Alexandria via LeMat-Bulk
Functional: PBE
Structure: optimized geometry

a = 5.425 Å, b = 3.970 Å, c = 5.425 Å
α = 90.00°, β = 90.00°, γ = 90.00°
Fractional positions:
Ca1 0.500 0.000 0.000
Pd1 0.500 0.500 0.500
Ca2 0.000 0.000 0.500
S1 0.000 0.500 0.000
Li1 0.000 0.000 0.000

Properties
space group	No. 123
E_form (uncorrected)	-372	meV/atom

---

Compound: Li2Ca2SbPd5
Source: Alexandria via LeMat-Bulk
Functional: PBE
Structure: optimized geometry

a = 3.768 Å, b = 9.659 Å, c = 9.659 Å
α = 90.00°, β = 90.00°, γ = 90.00°
Fractional positions:
Li1 0.000 0.380 0.120
Li2 0.000 0.620 0.880
Sb1 0.000 0.000 0.000
Pd1 0.500 0.500 0.000
Ca1 0.000 0.821 0.679
Pd2 0.500 0.066 0.790
Pd3 0.500 0.566 0.710
Sb2 0.000 0.500 0.500
Pd4 0.500 0.710 0.434
Ca2 0.000 0.321 0.821
Pd5 0.500 0.290 0.566
Pd6 0.500 0.210 0.066
Ca3 0.000 0.179 0.321
Pd7 0.500 0.934 0.210
Pd8 0.500 0.434 0.290
Pd9 0.500 0.000 0.500
Pd10 0.500 0.790 0.934
Li3 0.000 0.120 0.620
Ca4 0.000 0.679 0.179
Li4 0.000 0.880 0.380

Properties
space group	No. 127
E_form (uncorrected)	-614	meV/atom

---

Compound: LiCa2Sb3Pd4
Source: Alexandria via LeMat-Bulk
Functional: PBE
Structure: optimized geometry

a = 4.496 Å, b = 4.496 Å, c = 10.797 Å
α = 90.00°, β = 90.00°, γ = 90.00°
Fractional positions:
Pd1 0.000 0.000 0.000
Pd2 0.500 0.000 0.627
Sb1 0.000 0.000 0.500
Pd3 0.500 0.500 0.000
Ca1 0.500 0.000 0.244
Sb2 0.500 0.000 0.865
Pd4 0.000 0.500 0.373
Ca2 0.000 0.500 0.756
Li1 0.500 0.500 0.500
Sb3 0.000 0.500 0.135

Properties
space group	No. 115
E_form (uncorrected)	-761	meV/atom

---

Compound: LiCaSc2Pd4
Source: Alexandria via LeMat-Bulk
Functional: PBE
Structure: optimized geometry

a = 4.625 Å, b = 4.625 Å, c = 8.291 Å
α = 73.80°, β = 73.80°, γ = 60.00°
Fractional positions:
Li1 0.500 0.500 0.500
Sc1 0.759 0.759 0.724
Pd1 0.127 0.127 0.620
Pd2 0.873 0.873 0.380
Pd3 0.613 0.613 0.161
Ca1 0.000 0.000 0.000
Sc2 0.241 0.241 0.276
Pd4 0.387 0.387 0.839

Properties
space group	No. 166
energy of formation	-0.710	eV/atom

---

Compound: LiCaPdSe
Source: Alexandria via LeMat-Bulk
Functional: PBE
Structure: optimized geometry

a = 4.812 Å, b = 4.812 Å, c = 4.812 Å
α = 60.00°, β = 60.00°, γ = 60.00°
Fractional positions:
Pd1 0.750 0.750 0.750
Se1 0.250 0.250 0.250
Li1 0.500 0.500 0.500
Ca1 0.000 0.000 0.000

Properties
space group	No. 216
E_form (uncorrected)	-802	meV/atom

---

What did we get for total magnetization? Answer: 0.00; 0.00; 0.00; 0.00; 0.00; 0.00; 0.00; 0.00 μB/f.u., in the order shown.
What did we get for E? Answer: -3.968; -3.803; -2.545; -3.419; -4.406; -4.667; -5.379; -3.950 eV per atom, in the order shown.